AgBH3 | PBE-GGA | relaxed

Cell lengths 4.1707, 3.8241, 7.4967 Å; angles 90.14, 90.15, 77.64 degrees
Sites, in units of the cell vectors:
1 H 0.1440 0.4209 0.6504
2 H 0.6408 0.9574 0.4431
3 H 0.0785 0.8858 0.3003
4 H 0.1377 0.4257 0.9428
5 H 0.6469 0.9530 0.1506
6 H 0.5754 0.3533 0.8001
7 B 0.7808 0.9268 0.2974
8 B 0.2777 0.3946 0.7971
9 Ag 0.9796 0.9570 0.8053
10 Ag 0.4823 0.4893 0.3052

Output
Density of states at the Fermi level: 0.687 states/eV per cell
Energy relative to the lowest polymorph listed for this composition: 0.00 eV per formula unit
Space-group type: P1, No. 1
Total magnetization: 0.0 μB per cell

---

Al2VAu | PBE-GGA | relaxed

Cell lengths 3.8711, 3.8711, 5.8623 Å; angles 70.72, 70.72, 60.00 degrees
Sites, in units of the cell vectors:
1 V 0.6722 0.6722 0.9834
2 Al 0.0811 0.0811 0.7568
3 Al 0.2518 0.2518 0.2446
4 Au 0.4949 0.4949 0.5152

Output
Density of states at the Fermi level: 2.637 states/eV per cell
Space-group type: R3m, No. 160
Total magnetization: 0.7 μB per cell
Formation energy: 0.13 eV per atom

---

Ac8Sm2Y3 | PBE-GGA | relaxed

Cell lengths 6.6821, 6.6636, 12.1031 Å; angles 79.24, 89.96, 99.66 degrees
Sites, in units of the cell vectors:
1 Ac 0.3837 0.3039 0.7756
2 Ac 0.1539 0.9194 0.3063
3 Ac 0.6163 0.6961 0.2244
4 Ac 0.9167 0.5417 0.8498
5 Ac 0.6931 0.1590 0.3837
6 Ac 0.3069 0.8410 0.6163
7 Ac 0.0833 0.4583 0.1502
8 Ac 0.8461 0.0806 0.6937
9 Y 0.0000 0.0000 0.0000
10 Y 0.5384 0.2256 0.0732
11 Y 0.4616 0.7744 0.9268
12 Sm 0.7672 0.6122 0.5375
13 Sm 0.2328 0.3878 0.4625

Output
Density of states at the Fermi level: 21.957 states/eV per cell
Space-group type: P-1, No. 2
Total magnetization: 0.0 μB per cell
Formation energy: 0.05 eV per atom

---

Rb3Ca2H4F3 | PBE-GGA | relaxed

Cell lengths 4.5060, 4.5114, 12.3072 Å; angles 100.56, 100.55, 90.00 degrees
Sites, in units of the cell vectors:
1 F 0.0958 0.5939 0.1879
2 F 0.9079 0.4061 0.8121
3 F 0.0029 0.0000 0.0000
4 H 0.8098 0.8074 0.6149
5 H 0.5977 0.0953 0.1907
6 H 0.4070 0.9047 0.8093
7 H 0.1949 0.1926 0.3851
8 Rb 0.6883 0.6859 0.3718
9 Rb 0.3165 0.3141 0.6282
10 Rb 0.5024 0.5000 0.0000
11 Ca 0.0975 0.0951 0.1903
12 Ca 0.9072 0.9049 0.8097

Output
Density of states at the Fermi level: 0.000 states/eV per cell
Space-group type: Immm, No. 71
Total magnetization: 0.1 μB per cell
Final energy: -3.805 eV/atom

---

CsAl3Hg | PBE-GGA | relaxed

Cell lengths 5.4455, 5.4455, 5.4455 Å; angles 90.00, 90.00, 90.00 degrees
Sites, in units of the cell vectors:
1 Al 0.0000 0.5000 0.0000
2 Al 0.5000 0.0000 0.0000
3 Al 0.0000 0.0000 0.5000
4 Cs 0.5000 0.5000 0.5000
5 Hg 0.0000 0.0000 0.0000

Output
Density of states at the Fermi level: 4.434 states/eV per cell
Energy relative to the lowest polymorph listed for this composition: 0.00 eV per formula unit
Space-group type: Pm-3m, No. 221
Total magnetization: 0.0 μB per cell
Formation energy: 0.59 eV per atom

---

GaPdF2 | PBE-GGA | relaxed

Cell lengths 7.8064, 7.8064, 7.8064 Å; angles 21.56, 21.56, 21.56 degrees
Sites, in units of the cell vectors:
1 F 0.0892 0.0892 0.0892
2 F 0.9108 0.9108 0.9108
3 Ga 0.5000 0.5000 0.5000
4 Pd 0.0000 0.0000 0.0000

Output
Density of states at the Fermi level: 1.512 states/eV per cell
Energy relative to the lowest polymorph listed for this composition: 0.04 eV per formula unit
Space-group type: R-3m, No. 166
Total magnetization: 0.0 μB per cell
Formation energy without anion corrections: -1084 meV per atom